No. 1
Material: SrTb2Se4
Method: DFT, GGA-PBEsol
State: optimized geometry

```
SrTb2Se4
1.0
12.327 0.000 0.000
0.000 4.116 0.000
0.000 0.000 14.870
Sr Tb Se
4 8 16
direct
0.244 0.250 0.163
0.256 0.750 0.663
0.744 0.250 0.337
0.756 0.750 0.837
0.072 0.250 0.392
0.078 0.250 0.900
0.422 0.750 0.400
0.428 0.750 0.892
0.572 0.250 0.108
0.578 0.250 0.600
0.922 0.750 0.100
0.928 0.750 0.608
0.019 0.750 0.783
0.085 0.250 0.581
0.136 0.750 0.026
0.210 0.750 0.322
0.290 0.250 0.822
0.364 0.250 0.526
0.415 0.750 0.081
0.481 0.250 0.283
0.519 0.750 0.717
0.585 0.250 0.919
0.636 0.750 0.474
0.710 0.750 0.178
0.790 0.250 0.678
0.864 0.250 0.974
0.915 0.750 0.419
0.981 0.250 0.217
```

Its theoretical density is 6.35 Mg/m³. The value obtained for the total energy is -5.849 eV/atom. The space group is Pnma (62).

=====

No. 2
Material: TaMo3
Method: DFT, GGA-PBEsol
State: optimized geometry

```
TaMo3
1.0
3.163 -4.487 0.000
3.163 4.487 0.000
0.000 0.000 4.450
Ta Mo
2 6
direct
0.124 0.876 0.750
0.876 0.124 0.250
0.128 0.378 0.750
0.374 0.626 0.250
0.378 0.128 0.250
0.622 0.872 0.750
0.626 0.374 0.750
0.872 0.622 0.250
```

Its theoretical density is 12.32 Mg/m³. The value obtained for the total energy is -12.078 eV/atom. The space group is Cmcm (63). The density of states at the Fermi level is 4.23 states/eV/cell.

=====

No. 3
Material: MnSb2Rh
Method: DFT, GGA-PBEsol
State: optimized geometry

```
MnSb2Rh
1.0
0.000 3.245 3.245
3.245 0.000 3.245
3.245 3.245 0.000
Mn Sb Rh
1 2 1
direct
0.000 0.000 0.000
0.250 0.250 0.250
0.750 0.750 0.750
0.500 0.500 0.500
```

Its theoretical density is 9.75 Mg/m³. The value obtained for the total energy is -6.682 eV/atom. The space group is Fm-3m (225). The density of states at the Fermi level is 2.98 states/eV/cell.

=====

No. 4
Material: MgS2NCl
Method: DFT, GGA-PBEsol
State: optimized geometry

```
MgS2NCl
1.0
3.803 0.000 0.000
0.000 3.803 0.000
0.000 0.000 5.787
Mg S N Cl
1 2 1 1
direct
0.000 0.000 0.000
0.000 0.500 0.500
0.500 0.000 0.500
0.500 0.500 0.500
0.500 0.500 0.000
```

Its theoretical density is 2.74 Mg/m³. The value obtained for the total energy is -3.910 eV/atom. The space group is P4/mmm (123). The density of states at the Fermi level is 2.51 states/eV/cell.

=====

No. 5
Material: RbNdS2
Method: DFT, GGA-PBEsol
State: optimized geometry

```
RbNdS2
1.0
2.080 1.201 7.592
-2.080 1.201 7.592
0.000 -2.401 7.592
Rb Nd S
1 1 2
direct
0.000 0.000 0.000
0.500 0.500 0.500
0.233 0.233 0.233
0.767 0.767 0.767
```

Its theoretical density is 4.29 Mg/m³. The value obtained for the total energy is -5.580 eV/atom. The space group is R-3m (166). The density of states at the Fermi level is 0.00 states/eV/cell.

=====

No. 6
Material: Zr2ScAl
Method: DFT, GGA-PBEsol
State: optimized geometry

```
Zr2ScAl
1.0
-2.130 2.130 4.470
2.130 -2.130 4.470
2.130 2.130 -4.470
Zr Sc Al
2 1 1
direct
0.000 0.000 0.000
0.750 0.250 0.500
0.250 0.750 0.500
0.500 0.500 0.000
```

Its theoretical density is 5.21 Mg/m³. The value obtained for the total energy is -7.481 eV/atom. The space group is I-4m2 (119). The density of states at the Fermi level is 2.60 states/eV/cell.